# TbNiAs (GGA-PBEsol, relaxed)
# V = 53.4 Å³/cell
# Uncorrected energy = -6.52 eV per atom
# DOS(E_F) = 0.583 states/eV/atom
# ΔH_f (0 K) = -1.10 eV/atom
# Magnetization = 0.000 Bohr magnetons per cell
data_TbNiAs
_chemical_formula_sum 'Tb1 Ni1 As1'
_symmetry_space_group_name_H-M 'P -6 m 2'
_symmetry_Int_Tables_number 187
_symmetry_space_group_name_Hall 'P -6 2'
_cell_length_a 4.0026
_cell_length_b 4.0026
_cell_length_c 3.8505
_cell_angle_alpha 90.00
_cell_angle_beta 90.00
_cell_angle_gamma 120.00
loop_
_atom_site_label
_atom_site_type_symbol
_atom_site_fract_x
_atom_site_fract_y
_atom_site_fract_z
_atom_site_occupancy
Tb1 Tb 0.0000 0.0000 0.0000 1
Ni1 Ni 0.6667 0.3333 0.5000 1
As1 As 0.3333 0.6667 0.5000 1